AgBBr4 after structural relaxation. Source: Alexandria, functional GGA-PBE.

a b c (Å): 7.4861 7.4861 8.7074
angles (deg): 90.00 90.00 90.00
Last column: nearest neighbours and their distance in Å.
Positions (direct):
1 Ag 0.0000 0.0000 0.0000  4 Br 2.73
2 Ag 0.0000 0.0000 0.5000  4 Br 2.73
3 B 0.0000 0.5000 0.0000  4 Br 2.17
4 B 0.5000 0.0000 0.5000  4 Br 2.17
5 Br 0.2087 0.2994 0.0000  1 B 2.17
6 Br 0.2087 0.7006 0.0000  1 B 2.17
7 Br 0.2994 0.2087 0.5000  1 B 2.17
8 Br 0.2994 0.7913 0.5000  1 B 2.17
9 Br 0.7006 0.2087 0.5000  1 B 2.17
10 Br 0.7006 0.7913 0.5000  1 B 2.17
11 Br 0.7913 0.2994 0.0000  1 B 2.17
12 Br 0.7913 0.7006 0.0000  1 B 2.17

Properties
SG: No. 131
Energy relative to the lowest polymorph listed for this composition: 2.583 eV per formula unit
Energy: -2.6352 eV per atom
E_form (uncorrected): 0.07 eV/atom